A relaxed Rb2PmUS6 crystal. Source: Alexandria, functional PBE.

Summary:
Space group: P2_1/c, No. 14
Total DFT energy (no corrections), eV/atom: -5.607
Crystal system: monoclinic
Formation energy without anion corrections, kJ/mol of formula units: -1286

Structure (POSCAR):
```
Rb2PmUS6
1.0
-6.014 0.033 4.514
2.273 -6.475 3.075
5.512 5.407 7.311
Pm S U Rb
2 12 2 4
direct
0.500 0.000 0.000
0.000 0.500 0.500
0.262 0.760 0.499
0.238 0.260 0.001
0.260 0.238 0.499
0.740 0.762 0.501
0.240 0.738 0.001
0.002 0.500 0.761
0.998 0.500 0.239
0.762 0.740 0.999
0.760 0.262 0.999
0.502 0.000 0.261
0.498 0.000 0.739
0.738 0.240 0.501
0.000 0.500 0.000
0.500 0.000 0.500
0.000 0.000 0.750
0.500 0.500 0.250
0.500 0.500 0.750
0.000 0.000 0.250
```